Na2Cd2Rh: optimized geometry, GGA-PBEsol.

Unit cell a=3.8298 b=3.8298 c=15.6933 alpha=90.00 beta=90.00 gamma=90.00
Space group I4/mmm (No. 139)
Asymmetric unit:
Na: 0.0000 0.0000 0.0870 (multiplicity 4)
Cd: 0.0000 0.5000 0.2500 (multiplicity 4)
Rh: 0.0000 0.0000 0.5000 (multiplicity 2)

Computed properties:
* energy of formation from the pure elements: 0.597 eV per atom

Na2CdSbRh: optimized geometry, GGA-PBEsol.

Unit cell a=5.0613 b=5.0613 c=4.9750 alpha=90.00 beta=90.00 gamma=90.00
Space group P4/mmm (No. 123)
Asymmetric unit:
Na: 0.0000 0.5000 0.0000 (multiplicity 2)
Cd: 0.0000 0.0000 0.0000 (multiplicity 1)
Sb: 0.5000 0.5000 0.5000 (multiplicity 1)
Rh: 0.0000 0.0000 0.5000 (multiplicity 1)

Computed properties:
* formation energy (no corrections): 3.1 eV per formula unit

Na2ZnCdRh: optimized geometry, GGA-PBEsol.

Unit cell a=5.3056 b=5.3056 c=4.6950 alpha=90.00 beta=90.00 gamma=90.00
Space group P4/mmm (No. 123)
Asymmetric unit:
Na: 0.0000 0.5000 0.0000 (multiplicity 2)
Zn: 0.0000 0.0000 0.5000 (multiplicity 1)
Cd: 0.5000 0.5000 0.5000 (multiplicity 1)
Rh: 0.0000 0.0000 0.0000 (multiplicity 1)

Computed properties:
* energy of formation from the pure elements: 0.488 eV per atom

Na3CdS: optimized geometry, GGA-PBEsol.

Unit cell a=5.4369 b=5.4369 c=5.4369 alpha=90.00 beta=90.00 gamma=90.00
Space group Pm-3m (No. 221)
Asymmetric unit:
Na: 0.0000 0.0000 0.5000 (multiplicity 3)
Cd: 0.0000 0.0000 0.0000 (multiplicity 1)
S: 0.5000 0.5000 0.5000 (multiplicity 1)

Computed properties:
* formation energy (no corrections): 1.1 eV per formula unit

NaCdSbS3: optimized geometry, GGA-PBEsol.

Unit cell a=8.0282 b=8.0129 c=16.9718 alpha=90.00 beta=103.03 gamma=90.00
Space group C2/c (No. 15)
Asymmetric unit:
Na: 0.1626 0.1524 0.0791 (multiplicity 8)
Cd: 0.0000 0.1176 0.7500 (multiplicity 4)
Cd: 0.0000 0.3878 0.2500 (multiplicity 4)
Sb: 0.1777 0.3692 0.5909 (multiplicity 8)
S: 0.0559 0.4309 0.4048 (multiplicity 8)
S: 0.0931 0.0778 0.9050 (multiplicity 8)
S: 0.2484 0.3362 0.7414 (multiplicity 8)

Computed properties:
* formation energy (no corrections): -3.9 eV per formula unit

Na2CdSnS4: optimized geometry, GGA-PBEsol.

Unit cell a=6.4768 b=6.4768 c=9.9510 alpha=90.00 beta=90.00 gamma=90.00
Space group I-4 (No. 82)
Asymmetric unit:
Na: 0.0000 0.0000 0.0000 (multiplicity 2)
Na: 0.0000 0.5000 0.2500 (multiplicity 2)
Cd: 0.0000 0.5000 0.7500 (multiplicity 2)
Sn: 0.0000 0.0000 0.5000 (multiplicity 2)
S: 0.2112 0.7638 0.6252 (multiplicity 8)

Computed properties:
* formation energy (no corrections): -6.2 eV per formula unit

NaCd3Sb: optimized geometry, GGA-PBEsol.

Unit cell a=5.1718 b=5.1718 c=5.1718 alpha=90.00 beta=90.00 gamma=90.00
Space group Pm-3m (No. 221)
Asymmetric unit:
Na: 0.0000 0.0000 0.0000 (multiplicity 1)
Cd: 0.0000 0.0000 0.5000 (multiplicity 3)
Sb: 0.5000 0.5000 0.5000 (multiplicity 1)

Computed properties:
* formation energy (no corrections): 3.4 eV per formula unit

Na2CdSe2: optimized geometry, GGA-PBEsol.

Unit cell a=5.4423 b=5.4423 c=13.7482 alpha=90.00 beta=90.00 gamma=90.00
Space group I4/mmm (No. 139)
Asymmetric unit:
Na: 0.0000 0.5000 0.2500 (multiplicity 4)
Cd: 0.0000 0.0000 0.0000 (multiplicity 2)
Se: 0.0000 0.0000 0.1761 (multiplicity 4)

Computed properties:
* formation energy (no corrections): -3.5 eV per formula unit

| no. | total magnetic moment (μB per atom) |
| --- | --- |
| 1 | 0.05 |
| 2 | 0.00 |
| 3 | 0.00 |
| 4 | 0.00 |
| 5 | 0.00 |
| 6 | 0.00 |
| 7 | 0.00 |
| 8 | 0.00 |